1.
A crystal of SrCa relaxed with PBEsol, computed with SCAN.

Values from the calculation:
**V**: 90.71 Å³/f.u.
**Excess energy over the best structure of this formula in the dataset**: 0 meV per atom
**Symmetry**: No. 74
**Calculated formation energy**: 0.01 eV/atom
**DOS at the Fermi energy**: 2.7 states/eV per cell

Lattice parameters (Å, degrees): 7.476 7.476 7.476 145.38 129.41 62.76
Positions (direct):
Sr  0.370  0.120  0.250
Sr  0.630  0.880  0.750
Ca  0.118  0.368  0.750
Ca  0.882  0.632  0.250

***

2.
A crystal of Sr3Ca relaxed with PBEsol, computed with SCAN.

Values from the calculation:
**V**: 191.80 Å³/f.u.
**Symmetry**: No. 166
**Calculated formation energy**: 0.04 eV/atom
**DOS at the Fermi energy**: 4.0 states/eV per cell

Lattice parameters (Å, degrees): 7.580 7.580 7.580 117.01 117.01 117.01
Positions (direct):
Sr  0.000  0.500  0.500
Sr  0.500  0.000  0.500
Sr  0.500  0.500  0.000
Ca  0.000  0.000  0.000

***

3.
A crystal of Sr2Ca relaxed with PBEsol, computed with SCAN.

Values from the calculation:
**V**: 145.09 Å³/f.u.
**Excess energy over the best structure of this formula in the dataset**: 51 meV per atom
**Symmetry**: No. 194
**Calculated formation energy**: 0.06 eV/atom
**DOS at the Fermi energy**: 8.0 states/eV per cell

Lattice parameters (Å, degrees): 6.552 6.552 7.806 90.00 90.00 120.00
Positions (direct):
Sr  0.000  0.000  0.000
Sr  0.000  0.000  0.500
Sr  0.333  0.667  0.250
Sr  0.667  0.333  0.750
Ca  0.333  0.667  0.750
Ca  0.667  0.333  0.250

***

4.
A crystal of SrCa relaxed with PBEsol, computed with SCAN.

Values from the calculation:
**V**: 90.69 Å³/f.u.
**Excess energy over the best structure of this formula in the dataset**: 37 meV per atom
**Symmetry**: No. 221
**Calculated formation energy**: 0.05 eV/atom
**DOS at the Fermi energy**: 2.7 states/eV per cell

Lattice parameters (Å, degrees): 4.493 4.493 4.493 90.00 90.00 90.00
Positions (direct):
Sr  0.000  0.000  0.000
Ca  0.500  0.500  0.500